# RbFeP2O8 | the Alexandria database | GGA+U | relaxed
data_RbFeP2O8
_cell_length_a 5.200
_cell_length_b 5.200
_cell_length_c 8.146
_cell_angle_alpha 90.00
_cell_angle_beta 90.00
_cell_angle_gamma 120.00
_symmetry_space_group_name_H-M 'P 1'
_symmetry_Int_Tables_number 1
loop_
_symmetry_equiv_pos_as_xyz
'x,y,z'
loop_
_atom_site_label
_atom_site_fract_x
_atom_site_fract_y
_atom_site_fract_z
O1 0.652 0.758 0.645
O2 0.667 0.333 0.111
O3 0.348 0.242 0.355
O4 0.242 0.894 0.645
O5 0.758 0.106 0.355
O6 0.894 0.652 0.355
O7 0.106 0.348 0.645
O8 0.333 0.667 0.889
P1 0.333 0.667 0.699
P2 0.667 0.333 0.301
Fe1 0.000 0.000 0.500
Rb1 0.000 0.000 0.000
# electronic total energy: -6.558 eV per atom
# total magnetic moment: 2.9 μB/cell
# calculated volume: 190.8 Å³ per cell
# SG: P-3 (147)